(1)
Computed, not measured: a geometry-optimized NbAgTe3 structure at the PBE level of DFT.

Values from the calculation:
calculated total energy	-20.8	eV per cell
energy above the lowest structure with this stoichiometry	0.459	eV per atom
DOS(E_F)	4.952	states/eV per cell
crystal system	cubic
formation energy from raw total energies	0.31	eV/atom

Unit cell a=5.4277 b=5.4277 c=5.4277 alpha=90.00 beta=90.00 gamma=90.00
Closest atoms and distances in Å follow each position.
Sites, in units of the cell vectors:
Nb 0.0000 0.0000 0.0000  6 Te 2.71
Te 0.0000 0.5000 0.0000  2 Nb 2.71
Te 0.0000 0.0000 0.5000  2 Nb 2.71
Ag 0.5000 0.5000 0.5000  12 Te 3.84
Te 0.5000 0.0000 0.0000  2 Nb 2.71


(2)
Computed, not measured: a geometry-optimized MgSb2Te structure at the PBE level of DFT.

Values from the calculation:
calculated total energy	-24.9	eV per cell
energy above the lowest structure with this stoichiometry	0.399	eV per atom
DOS(E_F)	0.756	states/eV per cell
crystal system	tetragonal
formation energy from raw total energies	0.13	eV/atom

Unit cell a=6.4687 b=6.4687 c=8.6646 alpha=68.08 beta=68.08 gamma=90.00
Closest atoms and distances in Å follow each position.
Sites, in units of the cell vectors:
Mg 0.5000 0.5000 0.0000  4 Sb 2.86
Mg 0.2500 0.7500 0.5000  4 Sb 2.86
Sb 0.3750 0.3961 0.7500  2 Mg 2.86, 2 Te 3.01
Sb 0.6039 0.1250 0.2500  2 Mg 2.86, 2 Te 3.01
Te 0.7500 0.2500 0.5000  4 Sb 3.01
Sb 0.1461 0.6250 0.2500  2 Mg 2.86, 2 Te 3.01
Sb 0.8750 0.8539 0.7500  2 Mg 2.86, 2 Te 3.01
Te 0.0000 0.0000 0.0000  4 Sb 3.01


(3)
Computed, not measured: a geometry-optimized GdZr2Mo structure at the PBE level of DFT.

Values from the calculation:
calculated total energy	-40.7	eV per cell
energy above the lowest structure with this stoichiometry	0.261	eV per atom
DOS(E_F)	5.295	states/eV per cell
E_form	0.326	eV/atom
crystal system	trigonal

Unit cell a=3.2635 b=3.2635 c=10.5588 alpha=81.11 beta=81.11 gamma=60.00
Closest atoms and distances in Å follow each position.
Sites, in units of the cell vectors:
Mo 0.5000 0.5000 0.5000  6 Zr 2.78
Zr 0.8989 0.8989 0.3034  3 Mo 2.78
Zr 0.1011 0.1011 0.6966  3 Mo 2.78
Gd 0.0000 0.0000 0.0000  2 Zr 3.15, 6 Gd 3.26


(4)
Computed, not measured: a geometry-optimized NaSrYO2 structure at the PBE level of DFT.

Values from the calculation:
calculated total energy	-20.5	eV per cell
DOS(E_F)	3.205	states/eV per cell
crystal system	tetragonal
formation energy from raw total energies	-0.22	eV/atom

Unit cell a=4.4974 b=4.5103 c=4.4974 alpha=90.00 beta=90.00 gamma=90.00
Closest atoms and distances in Å follow each position.
Sites, in units of the cell vectors:
Y 0.5000 0.5000 0.5000  4 Sr 3.18, 8 O 3.18
Na 0.0000 0.0000 0.0000  4 O 2.25, 2 Sr 2.26
O 0.0000 0.0000 0.5000  2 Na 2.25
O 0.5000 0.0000 0.0000  2 Na 2.25
Sr 0.0000 0.5000 0.0000  2 Na 2.26


(5)
Computed, not measured: a geometry-optimized GdTlPdPt structure at the PBE level of DFT.

Values from the calculation:
calculated total energy	-30.3	eV per cell
DOS(E_F)	3.116	states/eV per cell
E_form	-0.667	eV/atom
crystal system	cubic

Unit cell a=4.8782 b=4.8782 c=4.8782 alpha=60.00 beta=60.00 gamma=60.00
Closest atoms and distances in Å follow each position.
Sites, in units of the cell vectors:
Gd 0.0000 0.0000 0.0000  4 Pd 2.99, 4 Pt 2.99
Pd 0.2500 0.2500 0.2500  4 Tl 2.99, 4 Gd 2.99
Pt 0.7500 0.7500 0.7500  4 Gd 2.99, 4 Tl 2.99
Tl 0.5000 0.5000 0.5000  4 Pt 2.99, 4 Pd 2.99


(6)
Computed, not measured: a geometry-optimized Tb4Te2PdSe structure at the PBE level of DFT.

Values from the calculation:
calculated total energy	-44.0	eV per cell
DOS(E_F)	5.004	states/eV per cell
crystal system	monoclinic
formation energy from raw total energies	-1.31	eV/atom

Unit cell a=4.1539 b=7.4337 c=7.4837 alpha=108.81 beta=90.00 gamma=90.00
Closest atoms and distances in Å follow each position.
Sites, in units of the cell vectors:
Te 0.0000 0.5000 0.5000  6 Tb 3.10-3.12
Pd 0.5000 0.5000 0.0000  6 Tb 2.83-2.93
Se 0.0000 0.0000 0.0000  6 Tb 2.91-2.97
Te 0.5000 0.0000 0.5000  6 Tb 3.14-3.19
Tb 0.5000 0.7565 0.7739  2 Se 2.91, 1 Pd 2.93, 3 Te 3.10-3.14
Tb 0.0000 0.2725 0.7848  2 Pd 2.83, 1 Se 2.97, 1 Te 3.12
Tb 0.0000 0.7275 0.2152  2 Pd 2.83, 1 Se 2.97, 1 Te 3.12
Tb 0.5000 0.2435 0.2261  2 Se 2.91, 1 Pd 2.93, 3 Te 3.10-3.14


(7)
Computed, not measured: a geometry-optimized K2BaZrSb structure at the PBE level of DFT.

Values from the calculation:
calculated total energy	-12.1	eV per cell
energy above the lowest structure with this stoichiometry	0.545	eV per atom
DOS(E_F)	6.829	states/eV per cell
crystal system	tetragonal
formation energy from raw total energies	0.95	eV/atom

Unit cell a=6.1625 b=6.5338 c=6.1625 alpha=90.00 beta=90.00 gamma=90.00
Closest atoms and distances in Å follow each position.
Sites, in units of the cell vectors:
K 0.5000 0.0000 0.0000  2 Zr 3.08
Sb 0.5000 0.5000 0.5000  4 Ba 4.36, 8 K 4.49
Ba 0.0000 0.5000 0.0000  2 Zr 3.27
Zr 0.0000 0.0000 0.0000  4 K 3.08, 2 Ba 3.27
K 0.0000 0.0000 0.5000  2 Zr 3.08


(8)
Computed, not measured: a geometry-optimized LiSc3Pd3 structure at the PBE level of DFT.

Values from the calculation:
calculated total energy	-81.7	eV per cell
DOS(E_F)	7.470	states/eV per cell
E_form	-0.622	eV/atom
crystal system	orthorhombic

Unit cell a=6.4612 b=6.4612 c=6.3658 alpha=90.00 beta=90.00 gamma=88.14
Closest atoms and distances in Å follow each position.
Sites, in units of the cell vectors:
Pd 0.0000 0.0000 0.2437  2 Li 2.68, 6 Sc 2.80-2.87
Sc 0.7551 0.7551 0.4999  6 Pd 2.77-2.80
Li 0.7646 0.7646 0.0000  6 Pd 2.68-2.74
Pd 0.0000 0.0000 0.7563  2 Li 2.68, 6 Sc 2.80-2.87
Sc 0.7319 0.2681 0.0000  6 Pd 2.80-2.87
Pd 0.5000 0.0000 0.7556  2 Li 2.74, 6 Sc 2.77-2.83
Pd 0.0000 0.5000 0.7556  2 Li 2.74, 6 Sc 2.77-2.83
Pd 0.5000 0.0000 0.2444  2 Li 2.74, 6 Sc 2.77-2.83
Sc 0.2449 0.2449 0.5001  6 Pd 2.77-2.80
Pd 0.0000 0.5000 0.2444  2 Li 2.74, 6 Sc 2.77-2.83
Sc 0.2681 0.7319 0.0000  6 Pd 2.80-2.87
Sc 0.2535 0.7465 0.5000  6 Pd 2.80-2.83
Sc 0.7465 0.2535 0.5000  6 Pd 2.80-2.83
Li 0.2354 0.2354 0.0000  6 Pd 2.68-2.74


(9)
Computed, not measured: a geometry-optimized Gd3Te structure at the PBE level of DFT.

Values from the calculation:
calculated total energy	-47.5	eV per cell
energy above the lowest structure with this stoichiometry	0.000	eV per atom
DOS(E_F)	4.803	states/eV per cell
crystal system	orthorhombic
formation energy from raw total energies	-0.54	eV/atom

Unit cell a=5.5071 b=3.8236 c=6.7274 alpha=106.51 beta=114.16 gamma=90.00
Closest atoms and distances in Å follow each position.
Sites, in units of the cell vectors:
Gd 0.7832 0.6998 0.5665  2 Te 3.17, 4 Gd 3.44
Gd 0.2168 0.1333 0.4335  2 Te 3.17, 4 Gd 3.44
Te 0.0000 0.4167 0.0000  8 Gd 3.17-3.35
Gd 0.5000 0.9169 0.0000  4 Te 3.35, 4 Gd 3.74


(10)
Computed, not measured: a geometry-optimized SrZnBr2 structure at the PBE level of DFT.

Values from the calculation:
calculated total energy	-11.1	eV per cell
energy above the lowest structure with this stoichiometry	0.115	eV per atom
DOS(E_F)	0.000	states/eV per cell
crystal system	orthorhombic
formation energy from raw total energies	-1.21	eV/atom

Unit cell a=9.6084 b=9.6084 c=9.6084 alpha=155.57 beta=152.95 gamma=36.77
Closest atoms and distances in Å follow each position.
Sites, in units of the cell vectors:
Br 0.6621 0.1621 0.5000  2 Sr 2.94
Sr 0.5458 0.5458 0.0000  6 Br 2.94-3.22
Zn 0.3064 0.8064 0.5000  6 Br 3.97-4.01, 2 Zn 4.07
Br 0.9857 0.9857 0.0000  4 Sr 3.22


> Among the records above, which one has the highest DOS(E_F)?

LiSc3Pd3